# GGA+U LaCdMo2O8, optimized geometry
data_LaCdMo2O8
_chemical_formula_sum 'La2 Cd2 Mo4 O16'
_space_group_name_H-M_alt 'I -4'
_space_group_IT_number 82
_space_group_name_Hall 'I -4'
_cell_length_a 5.357
_cell_length_b 5.357
_cell_length_c 11.586
_cell_angle_alpha 90.00
_cell_angle_beta 90.00
_cell_angle_gamma 90.00
loop_
_atom_site_label
_atom_site_type_symbol
_atom_site_fract_x
_atom_site_fract_y
_atom_site_fract_z
_atom_site_occupancy
La1 La 0.000 0.000 0.000 1
Cd1 Cd 0.000 0.500 0.750 1
Mo1 Mo 0.000 0.000 0.500 1
Mo2 Mo 0.000 0.500 0.250 1
O1 O 0.158 0.238 0.584 1
O2 O 0.167 0.752 0.167 1
# calculated total energy = -6.938 eV per atom
# theoretical density = 5.71 g cm⁻³
# volume = 333 Å³ per cell